(1)
Below is an optimized crystal structure of Sb2SeCl, with properties calculated at the PBE level.

abc: 5.751 5.751 5.751
angles: 134.31 134.31 66.60
Sites, in units of the cell vectors:
Sb1 0.000 0.000 0.000
Sb2 0.750 0.250 0.500
Se1 0.250 0.750 0.500
Cl1 0.500 0.500 0.000

**Excess energy over the best structure of this formula in the dataset**: 339 meV/atom
**Mass density**: 6.20 Mg/m³
**Calculated total energy**: -3.274 eV per atom
**M_tot**: 0.00 μB/atom

(2)
Below is an optimized crystal structure of Sb2SeCl, with properties calculated at the PBE level.

abc: 3.615 4.572 5.967
angles: 90.00 90.00 90.00
Sites, in units of the cell vectors:
Sb1 0.000 0.000 0.000
Sb2 0.500 0.000 0.500
Se1 0.000 0.500 0.500
Cl1 0.500 0.500 0.000

**Excess energy over the best structure of this formula in the dataset**: 245 meV/atom
**Mass density**: 6.03 Mg/m³
**Calculated total energy**: -3.369 eV per atom
**M_tot**: 0.00 μB/atom

(3)
Below is an optimized crystal structure of Sb2Se2Cl, with properties calculated at the PBE level.

abc: 10.626 10.626 10.626
angles: 23.00 23.00 23.00
Sites, in units of the cell vectors:
Sb1 0.103 0.103 0.103
Sb2 0.897 0.897 0.897
Se1 0.273 0.273 0.273
Se2 0.727 0.727 0.727
Cl1 0.500 0.500 0.500

**Excess energy over the best structure of this formula in the dataset**: 98 meV/atom
**Mass density**: 4.51 Mg/m³
**Calculated total energy**: -3.666 eV per atom
**M_tot**: 0.00 μB/atom

Q: The highest mass density belongs to which entry?
A: number 1